The following is a GGA-PBE calculation of KBe2NiPd after structural relaxation, from Alexandria.

The structure belongs to space group P4/mmm (No. 123); the cell edges are 4.417, 4.417 and 4.902 Å and the angles 90.00°, 90.00° and 90.00°. The distinct sites, in fractional coordinates, are K at (0.000, 0.000, 0.000), Be at (0.000, 0.500, 0.500), Ni at (0.500, 0.500, 0.000) and Pd at (0.500, 0.500, 0.500).

Its density of states at the Fermi level is 7.804 states/eV/f.u. The calculation puts the total magnetization at 0.918 μB/f.u. As for the total energy: -3.364 eV per atom. The value obtained for the energy of formation from the pure elements is 52.2 kJ per mole of atoms.